[1]
This record from Alexandria describes Cs2PtS6O18F6 at its PBEsol-relaxed geometry. The functional is meta-GGA SCAN.

Geometry as CIF:
```
data_Cs2PtS6O18F6
_cell_length_a 9.2702
_cell_length_b 9.2702
_cell_length_c 8.2738
_cell_angle_alpha 90.00
_cell_angle_beta 90.00
_cell_angle_gamma 120.00
_symmetry_space_group_name_H-M 'P 3 2 1'
_symmetry_Int_Tables_number 150
loop_
_symmetry_equiv_pos_as_xyz
'x,y,z'
'-y,x-y,z'
'-x+y,-x,z'
'y,x,-z'
'x-y,-y,-z'
'-x,-x+y,-z'
loop_
_atom_site_label
_atom_site_fract_x
_atom_site_fract_y
_atom_site_fract_z
_atom_site_occupancy
Cs1 0.3333 0.6667 0.3819 1
Pt1 0.0000 0.0000 0.0000 1
S1 0.1101 0.3323 0.7785 1
O1 0.0575 0.3451 0.2579 1
O2 0.0619 0.8685 0.8494 1
O3 0.1764 0.7607 0.6615 1
F1 0.1621 0.4568 0.9269 1
```

Output
- M_tot (μB/cell) = 0.0
- energy (eV/atom) = -11.855
- uncorrected formation energy (kJ/mol of atoms) = -159

=====

[2]
This record from Alexandria describes LiTc2Ni at its PBEsol-relaxed geometry. The functional is meta-GGA SCAN.

Geometry as CIF:
```
data_LiTc2Ni
_cell_length_a 4.8682
_cell_length_b 8.1723
_cell_length_c 2.4980
_cell_angle_alpha 90.00
_cell_angle_beta 90.00
_cell_angle_gamma 90.00
_symmetry_space_group_name_H-M 'C m m m'
_symmetry_Int_Tables_number 65
_symmetry_space_group_name_Hall '-C 2 2'
loop_
_atom_site_label
_atom_site_fract_x
_atom_site_fract_y
_atom_site_fract_z
_atom_site_occupancy
Li1 0.0000 0.0000 0.0000 1
Tc1 0.2500 0.2500 0.5000 1
Ni1 0.0000 0.5000 0.0000 1
```

Output
- M_tot (μB/cell) = 0.8
- ΔE_f (eV per atom) = 0.169
- energy (eV/atom) = -22.002

=====

[3]
This record from Alexandria describes CoTeBr at its PBEsol-relaxed geometry. The functional is meta-GGA SCAN.

Geometry as CIF:
```
data_CoTeBr
_cell_length_a 3.5725
_cell_length_b 6.0101
_cell_length_c 13.2730
_cell_angle_alpha 90.00
_cell_angle_beta 90.00
_cell_angle_gamma 90.00
_symmetry_space_group_name_H-M 'F m m 2'
_symmetry_Int_Tables_number 42
_symmetry_space_group_name_Hall 'F 2 -2'
loop_
_atom_site_label
_atom_site_fract_x
_atom_site_fract_y
_atom_site_fract_z
_atom_site_occupancy
Co1 0.0000 0.0000 0.0000 1
Te1 0.0000 0.0000 0.6244 1
Br1 0.0000 0.0000 0.3798 1
```

Output
- M_tot (μB/cell) = 3.9
- energy (eV/atom) = -24.698
- uncorrected formation energy (kJ/mol of atoms) = -3

=====

[4]
This record from Alexandria describes ScInBr2 at its PBEsol-relaxed geometry. The functional is meta-GGA SCAN.

Geometry as CIF:
```
data_ScInBr2
_cell_length_a 5.2495
_cell_length_b 5.2495
_cell_length_c 3.5257
_cell_angle_alpha 90.00
_cell_angle_beta 90.00
_cell_angle_gamma 90.00
_symmetry_space_group_name_H-M 'P 4/m m m'
_symmetry_Int_Tables_number 123
_symmetry_space_group_name_Hall '-P 4 2'
loop_
_atom_site_label
_atom_site_fract_x
_atom_site_fract_y
_atom_site_fract_z
_atom_site_occupancy
Sc1 0.0000 0.0000 0.0000 1
In1 0.5000 0.5000 0.0000 1
Br1 0.0000 0.5000 0.5000 1
```

Output
- M_tot (μB/cell) = 1.8
- energy (eV/atom) = -22.163
- uncorrected formation energy (kJ/mol of atoms) = -51

=====

[5]
This record from Alexandria describes LiZn2Ni2 at its PBEsol-relaxed geometry. The functional is meta-GGA SCAN.

Geometry as CIF:
```
data_LiZn2Ni2
_cell_length_a 3.7191
_cell_length_b 3.7191
_cell_length_c 10.3192
_cell_angle_alpha 90.00
_cell_angle_beta 90.00
_cell_angle_gamma 90.00
_symmetry_space_group_name_H-M 'I 4/m m m'
_symmetry_Int_Tables_number 139
_symmetry_space_group_name_Hall '-I 4 2'
loop_
_atom_site_label
_atom_site_fract_x
_atom_site_fract_y
_atom_site_fract_z
_atom_site_occupancy
Li1 0.0000 0.0000 0.0000 1
Zn1 0.0000 0.5000 0.2500 1
Ni1 0.0000 0.0000 0.3932 1
```

Output
- M_tot (μB/cell) = 0.0
- ΔE_f (eV per atom) = 0.132
- energy (eV/atom) = -12.222

=====

[6]
This record from Alexandria describes CsNb3P3O15 at its PBEsol-relaxed geometry. The functional is meta-GGA SCAN.

Geometry as CIF:
```
data_CsNb3P3O15
_cell_length_a 12.9854
_cell_length_b 15.4892
_cell_length_c 6.5506
_cell_angle_alpha 90.00
_cell_angle_beta 90.00
_cell_angle_gamma 90.00
_symmetry_space_group_name_H-M 'P n n m'
_symmetry_Int_Tables_number 58
loop_
_symmetry_equiv_pos_as_xyz
'x,y,z'
'-x,-y,-z'
'-x,-y,z'
'x,y,-z'
'x+1/2,-y+1/2,-z+1/2'
'-x+1/2,y+1/2,z+1/2'
'-x+1/2,y+1/2,-z+1/2'
'x+1/2,-y+1/2,z+1/2'
loop_
_atom_site_label
_atom_site_fract_x
_atom_site_fract_y
_atom_site_fract_z
_atom_site_occupancy
Cs1 0.0208 0.1700 0.0000 1
Nb1 0.0706 0.6373 0.5000 1
Nb2 0.1461 0.0304 0.5000 1
Nb3 0.2078 0.2714 0.5000 1
P1 0.0849 0.5729 0.0000 1
P2 0.2223 0.9951 0.0000 1
P3 0.2356 0.8097 0.5000 1
O1 0.0000 0.0000 0.5000 1
O2 0.0000 0.5000 0.0000 1
O3 0.0605 0.6233 0.1950 1
O4 0.0656 0.3438 0.5000 1
O5 0.1403 0.7458 0.5000 1
O6 0.1408 0.1545 0.5000 1
O7 0.1605 0.0278 0.1866 1
O8 0.1641 0.7366 0.0000 1
O9 0.1680 0.5366 0.5000 1
O10 0.1869 0.8985 0.5000 1
O11 0.1902 0.5333 0.0000 1
O12 0.1977 0.2881 0.1865 1
O13 0.2301 0.8978 0.0000 1
```

Output
- M_tot (μB/cell) = 4.0
- energy (eV/atom) = -14.463
- uncorrected formation energy (kJ/mol of atoms) = -247

=====

[7]
This record from Alexandria describes NiTeSe at its PBEsol-relaxed geometry. The functional is meta-GGA SCAN.

Geometry as CIF:
```
data_NiTeSe
_cell_length_a 3.6937
_cell_length_b 3.6937
_cell_length_c 4.9003
_cell_angle_alpha 90.00
_cell_angle_beta 90.00
_cell_angle_gamma 120.00
_symmetry_space_group_name_H-M 'P 3 m 1'
_symmetry_Int_Tables_number 156
loop_
_symmetry_equiv_pos_as_xyz
'x,y,z'
'-y,x-y,z'
'-x+y,-x,z'
'-y,-x,z'
'-x+y,y,z'
'x,x-y,z'
loop_
_atom_site_label
_atom_site_fract_x
_atom_site_fract_y
_atom_site_fract_z
_atom_site_occupancy
Ni1 0.0000 0.0000 0.0000 1
Te1 0.6667 0.3333 0.2766 1
Se1 0.3333 0.6667 0.7663 1
```

Output
- M_tot (μB/cell) = 0.2
- energy (eV/atom) = -24.781
- uncorrected formation energy (kJ/mol of atoms) = -27

=====

[8]
This record from Alexandria describes SrSb2As at its PBEsol-relaxed geometry. The functional is meta-GGA SCAN.

Geometry as CIF:
```
data_SrSb2As
_cell_length_a 4.5059
_cell_length_b 4.5059
_cell_length_c 10.2352
_cell_angle_alpha 90.00
_cell_angle_beta 90.00
_cell_angle_gamma 90.00
_symmetry_space_group_name_H-M 'I -4 m 2'
_symmetry_Int_Tables_number 119
_symmetry_space_group_name_Hall 'I -4 -2'
loop_
_atom_site_label
_atom_site_fract_x
_atom_site_fract_y
_atom_site_fract_z
_atom_site_occupancy
Sr1 0.0000 0.0000 0.0000 1
Sb1 0.0000 0.0000 0.5000 1
Sb2 0.0000 0.5000 0.7500 1
As1 0.0000 0.5000 0.2500 1
```

Output
- M_tot (μB/cell) = 0.0
- energy (eV/atom) = -29.542
- uncorrected formation energy (kJ/mol of atoms) = -29

=====

[9]
This record from Alexandria describes BaCu2Ru at its PBEsol-relaxed geometry. The functional is meta-GGA SCAN.

Geometry as CIF:
```
data_BaCu2Ru
_cell_length_a 3.0903
_cell_length_b 5.0059
_cell_length_c 9.3417
_cell_angle_alpha 90.00
_cell_angle_beta 90.00
_cell_angle_gamma 90.00
_symmetry_space_group_name_H-M 'I m m 2'
_symmetry_Int_Tables_number 44
loop_
_symmetry_equiv_pos_as_xyz
'x,y,z'
'-x,-y,z'
'-x,y,z'
'x,-y,z'
'x+1/2,y+1/2,z+1/2'
'-x+1/2,-y+1/2,z+1/2'
'-x+1/2,y+1/2,z+1/2'
'x+1/2,-y+1/2,z+1/2'
loop_
_atom_site_label
_atom_site_fract_x
_atom_site_fract_y
_atom_site_fract_z
_atom_site_occupancy
Ba1 0.0000 0.0000 0.0000 1
Cu1 0.0000 0.0000 0.4901 1
Cu2 0.0000 0.5000 0.7829 1
Ru1 0.0000 0.5000 0.2128 1
```

Output
- M_tot (μB/cell) = 2.6
- ΔE_f (eV per atom) = 0.770
- energy (eV/atom) = -25.423

=====

[10]
This record from Alexandria describes CuHg3P at its PBEsol-relaxed geometry. The functional is meta-GGA SCAN.

Geometry as CIF:
```
data_CuHg3P
_cell_length_a 5.0459
_cell_length_b 5.0459
_cell_length_c 5.0459
_cell_angle_alpha 90.00
_cell_angle_beta 90.00
_cell_angle_gamma 90.00
_symmetry_space_group_name_H-M 'P m -3 m'
_symmetry_Int_Tables_number 221
_symmetry_space_group_name_Hall '-P 4 2 3'
loop_
_atom_site_label
_atom_site_fract_x
_atom_site_fract_y
_atom_site_fract_z
_atom_site_occupancy
Cu1 0.0000 0.0000 0.0000 1
Hg1 0.0000 0.5000 0.5000 1
P1 0.5000 0.5000 0.5000 1
```

Output
- M_tot (μB/cell) = 0.0
- ΔE_f (eV per atom) = 0.690
- energy (eV/atom) = -45.329

=====

[11]
This record from Alexandria describes CaSiSb at its PBEsol-relaxed geometry. The functional is meta-GGA SCAN.

Geometry as CIF:
```
data_CaSiSb
_cell_length_a 6.8788
_cell_length_b 6.8788
_cell_length_c 6.8788
_cell_angle_alpha 90.00
_cell_angle_beta 90.00
_cell_angle_gamma 90.00
_symmetry_space_group_name_H-M 'F -4 3 m'
_symmetry_Int_Tables_number 216
_symmetry_space_group_name_Hall 'F -4 2 3'
loop_
_atom_site_label
_atom_site_fract_x
_atom_site_fract_y
_atom_site_fract_z
_atom_site_occupancy
Ca1 0.0000 0.0000 0.0000 1
Si1 0.2500 0.2500 0.2500 1
Sb1 0.0000 0.0000 0.5000 1
```

Output
- M_tot (μB/cell) = 0.0
- energy (eV/atom) = -19.049
- uncorrected formation energy (kJ/mol of atoms) = -7

=====

[12]
This record from Alexandria describes CaTi3Fe at its PBEsol-relaxed geometry. The functional is meta-GGA SCAN.

Geometry as CIF:
```
data_CaTi3Fe
_cell_length_a 4.4497
_cell_length_b 4.4497
_cell_length_c 4.4497
_cell_angle_alpha 90.00
_cell_angle_beta 90.00
_cell_angle_gamma 90.00
_symmetry_space_group_name_H-M 'P m -3 m'
_symmetry_Int_Tables_number 221
_symmetry_space_group_name_Hall '-P 4 2 3'
loop_
_atom_site_label
_atom_site_fract_x
_atom_site_fract_y
_atom_site_fract_z
_atom_site_occupancy
Ca1 0.0000 0.0000 0.0000 1
Ti1 0.0000 0.0000 0.5000 1
Fe1 0.5000 0.5000 0.5000 1
```

Output
- M_tot (μB/cell) = 0.1
- ΔE_f (eV per atom) = 1.933
- energy (eV/atom) = -13.244